This record from Alexandria describes a relaxed structure of Ho2MgAg2W4O16. The functional is GGA+U.

Cell lengths 7.3427, 7.5993, 7.7644 Å; angles 116.41, 96.44, 113.27 degrees
Atoms (fractional coordinates):
Ho 0.0000 0.0000 0.0000
Ho 0.4956 0.0704 0.5400
Mg 0.1818 0.7590 0.6815
Ag 0.4796 0.6342 0.0167
Ag 0.9762 0.2839 0.4712
W 0.0137 0.5280 0.0216
W 0.4922 0.5092 0.5042
W 0.6120 0.2245 0.1064
W 0.8778 0.7994 0.4053
O 0.0267 0.5663 0.7989
O 0.0522 0.2848 0.9492
O 0.1702 0.9477 0.5579
O 0.2142 0.2878 0.3186
O 0.2833 0.7539 0.2094
O 0.3057 0.0324 0.9601
O 0.4268 0.7449 0.5971
O 0.4842 0.4398 0.7012
O 0.5712 0.5148 0.2520
O 0.5727 0.2562 0.3780
O 0.6850 0.2877 0.8878
O 0.7140 0.0286 0.0678
O 0.7446 0.9762 0.4588
O 0.8144 0.7464 0.6402
O 0.9205 0.7766 0.1400
O 0.9216 0.5113 0.2692

Values from the calculation:
As for the symmetry: P1 (1). The energy comes out at -177.851 eV per formula unit. Its volume is 13.4 A^3/atom. The calculation puts the magnetization at 0.080 μB/atom. The calculation puts the energy above the most stable polymorph in this dataset at 0 meV/atom.